## ZnGa2S4 (PBEsol)

Data for an optimized crystal structure of ZnGa2S4.

a b c (Å): 5.1512 5.1512 5.3158
angles (deg): 90.00 90.00 90.00
Space group P-42m (No. 111)
Unique sites:
Zn: 0.0000 0.0000 0.0000 x1
Ga: 0.0000 0.5000 0.5000 x2
S: 0.2659 0.2659 0.2399 x4

Total DFT energy (no corrections)   -30.994 eV per cell